--- w ---
Li3AlC | PBE | optimized geometry

Output
For the magnetic moment, the calculation gives 0.000 μB/f.u. Its crystal system is cubic.

a = 4.0930 Å, b = 4.0930 Å, c = 4.0930 Å
α = 90.00°, β = 90.00°, γ = 90.00°
Last column: nearest neighbours and their distance in Å.
Space group Pm-3m (No. 221)
Symmetry-distinct sites (fractional):
Li 0.0000 0.0000 0.5000 x3  2 C 2.05
Al 0.5000 0.5000 0.5000 x1  12 Li 2.89
C 0.0000 0.0000 0.0000 x1  6 Li 2.05


--- x ---
Li3AlC | PBE | optimized geometry

Output
For the magnetic moment, the calculation gives 0.000 μB/f.u. Its crystal system is cubic.

a = 4.7552 Å, b = 4.7552 Å, c = 4.7552 Å
α = 90.00°, β = 90.00°, γ = 90.00°
Last column: nearest neighbours and their distance in Å.
Space group Pm-3m (No. 221)
Symmetry-distinct sites (fractional):
Li 0.0000 0.0000 0.5000 x3  2 Al 2.38
Al 0.0000 0.0000 0.0000 x1  6 Li 2.38
C 0.5000 0.5000 0.5000 x1  12 Li 3.36


Name the least stable of them. x.